5
Lattice="4.910 0.000 0.000 0.000 4.910 0.000 0.000 0.000 4.316" Properties=species:S:1:pos:R:3 comment="SrHfCu2C, relaxed, DFT PBE" final_energy_ev_per_cell=-19.2 pbc="T T T"
Sr 0.000 0.000 0.000
Hf 2.455 2.455 2.158
Cu 0.000 2.455 0.000
Cu 2.455 0.000 0.000
C 0.000 0.000 2.158

5
Lattice="-2.459 2.459 7.511 2.459 -2.459 7.511 2.459 2.459 -7.511" Properties=species:S:1:pos:R:3 comment="K2Li2Fe, relaxed, DFT PBE" final_energy_ev_per_cell=-9.6 pbc="T T T"
K 2.459 0.000 3.755
K 0.000 2.459 3.755
Li 0.000 0.000 1.199
Li 0.000 0.000 13.823
Fe 0.000 0.000 7.511

20
Lattice="8.404 0.000 0.000 0.000 8.575 0.000 0.000 0.000 6.241" Properties=species:S:1:pos:R:3 comment="Cu5AgTe4, relaxed, DFT PBE" e_form_raw_kj_per_mol_fu=21 pbc="T T T"
Cu 0.193 0.052 1.526
Cu 0.193 4.235 1.526
Cu 2.101 6.431 1.659
Cu 4.009 0.052 1.526
Cu 4.009 4.235 1.526
Cu 4.395 4.340 4.715
Cu 4.395 8.523 4.715
Cu 6.303 2.144 4.582
Cu 8.211 4.340 4.715
Cu 8.211 8.523 4.715
Ag 2.101 2.144 1.890
Ag 6.303 6.431 4.351
Te 0.015 2.144 6.134
Te 2.101 4.476 3.395
Te 2.101 8.387 3.395
Te 4.187 2.144 6.134
Te 4.217 6.431 0.107
Te 6.303 0.188 2.846
Te 6.303 4.099 2.846
Te 8.390 6.431 0.107

10
Lattice="7.910 0.000 0.000 0.000 7.910 0.000 0.000 0.000 2.858" Properties=species:S:1:pos:R:3 comment="ScNb2Ir2, relaxed, DFT PBE" final_energy_ev_per_cell=-92.2 pbc="T T T"
Sc 0.000 0.000 0.000
Sc 3.955 3.955 0.000
Nb 1.114 2.840 0.000
Nb 2.840 6.795 0.000
Nb 5.069 1.114 0.000
Nb 6.795 5.069 0.000
Ir 1.223 5.178 1.429
Ir 2.732 1.223 1.429
Ir 5.178 6.687 1.429
Ir 6.687 2.732 1.429

10
Lattice="9.402 -2.164 0.000 9.402 2.164 0.000 -2.100 0.000 8.290" Properties=species:S:1:pos:R:3 comment="Sr5ThPt4, relaxed, DFT PBE" final_energy_ev_per_cell=-48.0 pbc="T T T"
Sr 0.000 0.000 0.000
Sr 4.843 0.000 5.425
Sr 5.990 0.000 1.422
Sr 10.714 0.000 6.868
Sr 11.862 0.000 2.865
Th -1.050 0.000 4.145
Pt 1.747 0.000 4.864
Pt 7.820 0.000 6.064
Pt 8.884 0.000 2.226
Pt 14.957 0.000 3.426

7
Lattice="2.707 1.563 7.954 -2.707 1.563 7.954 0.000 -3.126 7.954" Properties=species:S:1:pos:R:3 comment="PmEr2Tm2Mg2, relaxed, DFT PBE" final_energy_ev_per_cell=-26.2 pbc="T T T"
Pm 0.000 0.000 0.000
Er 0.000 0.000 10.222
Er 0.000 0.000 13.641
Tm 0.000 0.000 3.711
Tm 0.000 0.000 20.153
Mg 0.000 0.000 6.897
Mg 0.000 0.000 16.967

11
Lattice="7.966 -2.858 0.000 7.966 2.858 0.000 -1.484 0.000 4.886" Properties=species:S:1:pos:R:3 comment="Hf8AlS2, relaxed, DFT PBE" e_form_raw_kj_per_mol_fu=-367 pbc="T T T"
Hf 5.135 1.436 4.356
Hf 2.451 0.000 3.516
Hf 9.315 1.436 0.530
Hf 5.756 0.000 1.880
Hf 8.693 0.000 3.006
Hf 5.135 -1.436 4.356
Hf 11.998 0.000 1.371
Hf 9.315 -1.436 0.530
Al -0.742 0.000 2.443
S 3.388 0.000 1.137
S 11.061 0.000 3.749

68
Lattice="9.365 0.000 0.000 0.000 4.386 0.000 -3.121 0.000 15.984" Properties=species:S:1:pos:R:3 comment="NaZnB3H12, relaxed, DFT PBE" final_energy_ev_per_cell=-262.9 pbc="T T T"
Na 0.791 0.590 5.590
Na -0.769 1.603 13.582
Na 7.013 2.783 2.402
Na 5.452 3.796 10.393
Zn 0.662 3.240 9.584
Zn 2.223 3.339 1.592
Zn 4.021 1.047 14.392
Zn 5.581 1.146 6.400
B 0.759 3.191 3.268
B -0.801 3.388 11.260
B 0.226 2.764 7.456
B -1.335 3.815 15.448
B 3.498 0.673 5.954
B 1.937 1.520 13.946
B 4.306 2.866 2.038
B 2.746 3.713 10.029
B 7.578 0.571 0.536
B 6.017 1.622 8.528
B 7.045 0.998 4.724
B 5.484 1.195 12.716
H -1.940 2.994 11.363
H -0.379 3.585 3.371
H -0.777 2.358 6.923
H -2.338 4.221 14.915
H 0.788 2.311 2.387
H -0.773 4.268 10.379
H -1.625 2.695 15.921
H -0.065 3.884 7.929
H -0.163 2.345 10.960
H 1.397 4.234 2.968
H 1.250 2.752 4.285
H -0.310 3.827 12.277
H 2.067 0.287 0.338
H 0.506 1.906 8.330
H 1.212 2.871 6.756
H -0.349 3.708 14.748
H 1.883 0.210 9.769
H 3.444 1.983 1.777
H 3.077 0.380 4.860
H 1.516 1.813 12.852
H 2.734 0.669 6.893
H 1.173 1.524 14.885
H 2.300 2.547 10.125
H 3.860 4.032 2.133
H 2.383 0.354 13.851
H 3.943 1.839 5.859
H 5.070 2.862 1.099
H 3.510 3.717 9.091
H 4.727 2.573 3.132
H 3.167 4.006 11.124
H 2.799 2.403 14.207
H 4.360 4.176 6.215
H 6.592 0.678 1.236
H 5.032 1.515 9.228
H 5.737 2.480 7.654
H 4.177 4.099 15.646
H 6.554 0.559 3.707
H 4.993 1.634 11.699
H 4.846 0.152 13.015
H 6.407 2.041 5.023
H 6.308 0.502 8.055
H 7.869 1.691 0.063
H 7.016 0.118 5.605
H 5.456 2.075 13.597
H 8.581 0.165 1.069
H 7.021 2.028 9.060
H 6.623 0.801 12.613
H 8.183 1.392 4.621

8
Lattice="-2.777 2.777 4.404 2.777 -2.777 4.404 2.777 2.777 -4.404" Properties=species:S:1:pos:R:3 comment="ScRh2N, relaxed, DFT PBE" e_form_raw_kj_per_mol_fu=-28 pbc="T T T"
Sc 0.000 0.000 0.000
Sc 0.000 2.777 2.202
Rh 1.389 -0.755 3.303
Rh 2.022 1.389 1.101
Rh 1.389 3.532 -1.101
Rh 0.755 1.389 5.505
N 2.777 0.000 2.202
N 0.000 0.000 4.404

6
Lattice="2.492 -7.173 0.000 2.492 7.173 0.000 0.000 0.000 3.870" Properties=species:S:1:pos:R:3 comment="UGePb, relaxed, DFT PBE" final_energy_ev_per_cell=-39.2 pbc="T T T"
U 2.492 6.340 2.903
U 2.492 -6.340 0.968
Ge 2.492 0.949 2.903
Ge 2.492 -0.949 0.968
Pb 2.492 3.499 0.968
Pb 2.492 -3.499 2.903

4
Lattice="-2.096 2.096 4.959 2.096 -2.096 4.959 2.096 2.096 -4.959" Properties=species:S:1:pos:R:3 comment="CaTa2Tl, relaxed, DFT PBE" final_energy_ev_per_cell=-25.8 pbc="T T T"
Ca 0.000 0.000 0.000
Ta 2.096 0.000 2.479
Ta 0.000 2.096 2.479
Tl 0.000 0.000 4.959

8
Lattice="7.532 0.000 0.000 0.000 4.214 0.000 -2.406 0.000 7.834" Properties=species:S:1:pos:R:3 comment="Pr4ZnPI2, relaxed, DFT PBE" e_form_raw_kj_per_mol_fu=-743 pbc="T T T"
Pr 1.206 0.000 1.544
Pr 0.036 2.107 6.226
Pr 5.091 2.107 1.608
Pr 3.920 0.000 6.290
Zn 3.766 0.000 0.000
P 0.000 2.107 0.000
I -1.203 0.000 3.917
I 2.563 2.107 3.917

5
Lattice="4.418 0.000 0.000 0.000 4.418 0.000 0.000 0.000 3.938" Properties=species:S:1:pos:R:3 comment="LiTc2CBr, relaxed, DFT PBE" e_form_raw_kj_per_mol_fu=1160 pbc="T T T"
Li 0.000 0.000 0.000
Tc 0.000 2.209 0.000
Tc 2.209 0.000 0.000
C 2.209 2.209 1.969
Br 0.000 0.000 1.969

5
Lattice="5.823 0.000 0.000 0.000 5.823 0.000 0.000 0.000 5.823" Properties=species:S:1:pos:R:3 comment="LaHfSb3, relaxed, DFT PBE" e_form_raw_kj_per_mol_fu=505 pbc="T T T"
La 0.000 0.000 0.000
Hf 2.912 2.912 2.912
Sb 0.000 0.000 2.912
Sb 0.000 2.912 0.000
Sb 2.912 0.000 0.000

4
Lattice="0.000 3.701 3.701 3.701 0.000 3.701 3.701 3.701 0.000" Properties=species:S:1:pos:R:3 comment="Gd2MgCr, relaxed, DFT PBE" final_energy_ev_per_cell=-38.6 pbc="T T T"
Gd 1.850 1.850 1.850
Gd 5.551 5.551 5.551
Mg 0.000 0.000 0.000
Cr 3.701 3.701 3.701

3
Lattice="3.974 0.000 0.000 -1.987 3.441 0.000 0.000 0.000 2.850" Properties=species:S:1:pos:R:3 comment="TaBeCu, relaxed, DFT PBE" final_energy_ev_per_cell=-19.6 pbc="T T T"
Ta 0.000 0.000 0.000
Be 1.987 1.147 1.425
Cu 0.000 2.294 1.425

4
Lattice="3.321 -4.614 0.000 3.321 4.614 0.000 0.000 0.000 3.018" Properties=species:S:1:pos:R:3 comment="TaIn2Te, relaxed, DFT PBE" e_form_raw_kj_per_mol_fu=146 pbc="T T T"
Ta 0.000 0.000 0.000
In 1.660 2.307 1.509
In 1.660 -2.307 1.509
Te 3.321 0.000 0.000

5
Lattice="-2.309 2.309 5.801 2.309 -2.309 5.801 2.309 2.309 -5.801" Properties=species:S:1:pos:R:3 comment="CaBi2Ir2, relaxed, DFT PBE" final_energy_ev_per_cell=-27.6 pbc="T T T"
Ca 0.000 0.000 0.000
Bi 2.309 0.000 2.901
Bi 0.000 2.309 2.901
Ir 0.000 0.000 4.582
Ir 0.000 0.000 7.020

14
Lattice="-4.360 4.360 4.374 4.360 -4.360 4.374 4.360 4.360 -4.374" Properties=species:S:1:pos:R:3 comment="Hf4SnBi2, relaxed, DFT PBE" final_energy_ev_per_cell=-105.0 pbc="T T T"
Hf 3.675 2.850 -1.849
Hf 5.869 0.685 0.338
Hf 0.685 2.850 -0.338
Hf 0.685 1.509 2.525
Hf 1.509 -0.685 6.223
Hf 3.675 1.509 4.036
Hf 2.850 5.044 1.849
Hf -1.509 3.675 4.712
Sn 0.000 0.000 0.000
Sn 0.000 4.360 2.187
Bi 2.180 -1.053 3.281
Bi 3.307 2.180 1.094
Bi 2.180 5.412 -1.094
Bi 1.053 2.180 5.468

10
Lattice="8.385 0.000 0.000 0.000 8.385 0.000 0.000 0.000 4.572" Properties=species:S:1:pos:R:3 comment="LiTl2Te2, relaxed, DFT PBE" e_form_raw_kj_per_mol_fu=-150 pbc="T T T"
Li 0.000 0.000 0.000
Li 4.192 4.192 0.000
Tl 1.183 3.009 2.286
Tl 3.009 7.202 2.286
Tl 5.375 1.183 2.286
Tl 7.202 5.375 2.286
Te 1.420 5.612 0.000
Te 2.772 1.420 0.000
Te 5.612 6.965 0.000
Te 6.965 2.772 0.000